1.
DFT (GGA-PBE) results for an optimized crystal structure of Tl2CuHgPb.

```
Tl2CuHgPb
1.0
5.283 0.000 0.000
0.000 5.283 0.000
0.000 0.000 5.284
Tl Cu Hg Pb
2 1 1 1
direct
0.000 0.500 0.000
0.500 0.000 0.000
0.000 0.000 0.000
0.500 0.500 0.500
0.000 0.000 0.500
```

Output
DOS(E_F): 0.307 states/eV per atom
energy of formation from the pure elements: 165.2 meV/atom
total magnetization: 0.0000 μB/atom
crystal system: tetragonal
E_tot: -2.4025 eV per atom



2.
DFT (GGA-PBE) results for an optimized crystal structure of TmCuHgPb.

```
TmCuHgPb
1.0
0.000 3.573 3.573
3.573 0.000 3.573
3.573 3.573 0.000
Tm Cu Hg Pb
1 1 1 1
direct
0.000 0.000 0.000
0.750 0.750 0.750
0.250 0.250 0.250
0.500 0.500 0.500
```

Output
DOS(E_F): 0.308 states/eV per atom
energy of formation from the pure elements: -104.4 meV/atom
total magnetization: 0.0000 μB/atom
crystal system: cubic
E_tot: -3.2488 eV per atom



3.
DFT (GGA-PBE) results for an optimized crystal structure of YCuHgPb.

```
YCuHgPb
1.0
0.000 3.598 3.598
3.598 0.000 3.598
3.598 3.598 0.000
Y Cu Hg Pb
1 1 1 1
direct
0.000 0.000 0.000
0.250 0.250 0.250
0.750 0.750 0.750
0.500 0.500 0.500
```

Output
DOS(E_F): 0.282 states/eV per atom
energy of formation from the pure elements: -151.1 meV/atom
total magnetization: 0.0000 μB/atom
crystal system: cubic
E_tot: -3.7937 eV per atom



4.
DFT (GGA-PBE) results for an optimized crystal structure of Cu3HgPd6.

```
Cu3HgPd6
1.0
8.174 0.000 0.000
0.000 4.125 0.000
-1.016 0.000 8.902
Cu Hg Pd
6 2 12
direct
0.050 0.250 0.396
0.152 0.750 0.183
0.246 0.250 0.981
0.754 0.750 0.019
0.848 0.250 0.817
0.950 0.750 0.604
0.442 0.250 0.605
0.558 0.750 0.395
0.035 0.750 0.898
0.122 0.250 0.693
0.226 0.750 0.480
0.331 0.250 0.278
0.338 0.750 0.795
0.444 0.750 0.090
0.556 0.250 0.910
0.662 0.250 0.205
0.669 0.750 0.722
0.774 0.250 0.520
0.878 0.750 0.307
0.965 0.250 0.102
```

Output
DOS(E_F): 1.031 states/eV per atom
relative energy among the computed polymorphs: 0.000 eV per formula unit
energy of formation from the pure elements: -92.1 meV/atom
total magnetization: 0.0000 μB/atom
crystal system: monoclinic
E_tot: -4.4669 eV per atom



5.
DFT (GGA-PBE) results for an optimized crystal structure of Cu2Hg2Pd.

```
Cu2Hg2Pd
1.0
-1.721 1.721 7.451
1.721 -1.721 7.451
1.721 1.721 -7.451
Cu Hg Pd
2 2 1
direct
0.250 0.750 0.500
0.750 0.250 0.500
0.106 0.106 0.000
0.894 0.894 0.000
0.500 0.500 0.000
```

Output
DOS(E_F): 0.364 states/eV per atom
relative energy among the computed polymorphs: 0.000 eV per formula unit
energy of formation from the pure elements: 101.7 meV/atom
total magnetization: 0.0000 μB/atom
crystal system: tetragonal
E_tot: -2.6960 eV per atom



6.
DFT (GGA-PBE) results for an optimized crystal structure of CuHg3Pd.

```
CuHg3Pd
1.0
5.249 0.000 0.000
0.000 5.249 0.000
0.000 0.000 5.249
Cu Hg Pd
1 3 1
direct
0.000 0.000 0.000
0.000 0.500 0.500
0.500 0.000 0.500
0.500 0.500 0.000
0.500 0.500 0.500
```

Output
DOS(E_F): 0.646 states/eV per atom
relative energy among the computed polymorphs: 0.094 eV per formula unit
energy of formation from the pure elements: 474.5 meV/atom
total magnetization: 0.0000 μB/atom
crystal system: cubic
E_tot: -1.5644 eV per atom



7.
DFT (GGA-PBE) results for an optimized crystal structure of CuHg2Pd.

```
CuHg2Pd
1.0
1.529 0.883 9.739
-1.529 0.883 9.739
0.000 -1.766 9.739
Cu Hg Pd
1 2 1
direct
0.000 0.000 0.000
0.089 0.089 0.089
0.911 0.911 0.911
0.500 0.500 0.500
```

Output
DOS(E_F): 0.370 states/eV per atom
energy of formation from the pure elements: 225.8 meV/atom
total magnetization: 0.0000 μB/atom
crystal system: trigonal
E_tot: -2.2474 eV per atom



8.
DFT (GGA-PBE) results for an optimized crystal structure of CuHgPd2.

```
CuHgPd2
1.0
4.220 0.000 0.000
0.000 4.220 0.000
0.000 0.000 3.602
Cu Hg Pd
1 1 2
direct
0.000 0.000 0.000
0.500 0.500 0.000
0.000 0.500 0.500
0.500 0.000 0.500
```

Output
DOS(E_F): 0.176 states/eV per atom
energy of formation from the pure elements: -121.7 meV/atom
total magnetization: 0.0000 μB/atom
crystal system: tetragonal
E_tot: -3.8176 eV per atom



9.
DFT (GGA-PBE) results for an optimized crystal structure of Cu2HgPd8.

```
Cu2HgPd8
1.0
3.630 -5.775 0.000
3.630 5.775 0.000
-1.969 0.000 4.258
Cu Hg Pd
2 1 8
direct
0.191 0.809 0.000
0.809 0.191 0.000
0.500 0.500 0.500
0.095 0.095 0.313
0.175 0.411 0.887
0.267 0.733 0.500
0.411 0.175 0.887
0.589 0.825 0.113
0.733 0.267 0.500
0.825 0.589 0.113
0.905 0.905 0.687
```

Output
DOS(E_F): 1.605 states/eV per atom
relative energy among the computed polymorphs: 1.911 eV per formula unit
energy of formation from the pure elements: 96.0 meV/atom
total magnetization: 0.0000 μB/atom
crystal system: monoclinic
E_tot: -4.4528 eV per atom



10.
DFT (GGA-PBE) results for an optimized crystal structure of Cu3HgPd6.

```
Cu3HgPd6
1.0
4.845 -5.944 0.000
4.845 5.944 0.000
0.000 0.000 5.400
Cu Hg Pd
6 2 12
direct
0.003 0.997 0.500
0.250 0.507 0.445
0.493 0.750 0.445
0.507 0.250 0.945
0.750 0.493 0.945
0.997 0.003 0.000
0.209 0.791 0.765
0.791 0.209 0.265
0.063 0.468 0.035
0.190 0.810 0.259
0.208 0.247 0.739
0.247 0.208 0.239
0.434 0.566 0.995
0.468 0.063 0.535
0.532 0.937 0.035
0.566 0.434 0.495
0.753 0.792 0.739
0.792 0.753 0.239
0.810 0.190 0.759
0.937 0.532 0.535
```

Output
DOS(E_F): 0.718 states/eV per atom
relative energy among the computed polymorphs: 1.148 eV per formula unit
energy of formation from the pure elements: 22.6 meV/atom
total magnetization: 0.0000 μB/atom
crystal system: orthorhombic
E_tot: -4.3521 eV per atom



11.
DFT (GGA-PBE) results for an optimized crystal structure of Cu7HgPd12.

```
Cu7HgPd12
1.0
4.928 2.845 3.842
-4.928 2.845 3.842
0.000 -5.691 3.842
Cu Hg Pd
7 1 12
direct
0.000 0.000 0.000
0.093 0.500 0.339
0.339 0.093 0.500
0.500 0.339 0.093
0.500 0.661 0.907
0.661 0.907 0.500
0.907 0.500 0.661
0.500 0.500 0.500
0.004 0.898 0.338
0.102 0.662 0.996
0.211 0.742 0.629
0.258 0.371 0.789
0.338 0.004 0.898
0.371 0.789 0.258
0.629 0.211 0.742
0.662 0.996 0.102
0.742 0.629 0.211
0.789 0.258 0.371
0.898 0.338 0.004
0.996 0.102 0.662
```

Output
DOS(E_F): 1.206 states/eV per atom
energy of formation from the pure elements: 127.2 meV/atom
total magnetization: 0.0000 μB/atom
crystal system: trigonal
E_tot: -4.4372 eV per atom



12.
DFT (GGA-PBE) results for an optimized crystal structure of CuHg3Pd4.

```
CuHg3Pd4
1.0
3.057 0.000 0.000
0.000 3.057 0.000
0.000 0.000 14.587
Cu Hg Pd
1 3 4
direct
0.000 0.000 0.000
0.000 0.000 0.234
0.000 0.000 0.500
0.000 0.000 0.766
0.500 0.500 0.103
0.500 0.500 0.367
0.500 0.500 0.633
0.500 0.500 0.897
```

Output
DOS(E_F): 0.212 states/eV per atom
energy of formation from the pure elements: -156.7 meV/atom
total magnetization: 0.0000 μB/atom
crystal system: tetragonal
E_tot: -3.3783 eV per atom



Copy entry 12 word for word.
DFT (GGA-PBE) results for an optimized crystal structure of CuHg3Pd4.

```
CuHg3Pd4
1.0
3.057 0.000 0.000
0.000 3.057 0.000
0.000 0.000 14.587
Cu Hg Pd
1 3 4
direct
0.000 0.000 0.000
0.000 0.000 0.234
0.000 0.000 0.500
0.000 0.000 0.766
0.500 0.500 0.103
0.500 0.500 0.367
0.500 0.500 0.633
0.500 0.500 0.897
```

Output
DOS(E_F): 0.212 states/eV per atom
energy of formation from the pure elements: -156.7 meV/atom
total magnetization: 0.0000 μB/atom
crystal system: tetragonal
E_tot: -3.3783 eV per atom



Repeat the fourth record exactly.
DFT (GGA-PBE) results for an optimized crystal structure of Cu3HgPd6.

```
Cu3HgPd6
1.0
8.174 0.000 0.000
0.000 4.125 0.000
-1.016 0.000 8.902
Cu Hg Pd
6 2 12
direct
0.050 0.250 0.396
0.152 0.750 0.183
0.246 0.250 0.981
0.754 0.750 0.019
0.848 0.250 0.817
0.950 0.750 0.604
0.442 0.250 0.605
0.558 0.750 0.395
0.035 0.750 0.898
0.122 0.250 0.693
0.226 0.750 0.480
0.331 0.250 0.278
0.338 0.750 0.795
0.444 0.750 0.090
0.556 0.250 0.910
0.662 0.250 0.205
0.669 0.750 0.722
0.774 0.250 0.520
0.878 0.750 0.307
0.965 0.250 0.102
```

Output
DOS(E_F): 1.031 states/eV per atom
relative energy among the computed polymorphs: 0.000 eV per formula unit
energy of formation from the pure elements: -92.1 meV/atom
total magnetization: 0.0000 μB/atom
crystal system: monoclinic
E_tot: -4.4669 eV per atom



- Among the records above, which one has the lowest DOS(E_F)?
  CuHgPd2